AcIn2Au5: optimized geometry, PBE-GGA. Values from VASP.

Quantum ESPRESSO input file:
```
&SYSTEM
  ibrav = 0, nat = 8, ntyp = 3
/
ATOMIC_SPECIES
Ac 227.00 Ac.upf
In 114.82 In.upf
Au 196.97 Au.upf
ATOMIC_POSITIONS crystal
Ac 0.0000 0.0000 0.0000
In 0.7624 0.7376 0.7376
In 0.2376 0.2624 0.2624
Au 0.0000 0.5000 0.5000
Au 0.6193 0.5844 0.1769
Au 0.3807 0.4156 0.8231
Au 0.3807 0.8231 0.4156
Au 0.6193 0.1769 0.5844
CELL_PARAMETERS angstrom
-0.8880 0.6125 4.2119
-0.2079 -6.6463 3.1667
5.6910 -2.6765 3.8332
```

Properties
DFT formation energy ... -0.4300 eV/atom
Space group ... Immm, No. 71

OsPbI2O: optimized geometry, PBE-GGA. Values from VASP.

Quantum ESPRESSO input file:
```
&SYSTEM
  ibrav = 0, nat = 5, ntyp = 4
/
ATOMIC_SPECIES
Pb 207.20 Pb.upf
I 126.90 I.upf
Os 190.23 Os.upf
O 16.00 O.upf
ATOMIC_POSITIONS crystal
Pb 0.5000 0.5000 0.5000
I 0.0000 0.5000 0.0000
I 0.5000 0.0000 0.0000
Os 0.0000 0.0000 0.0000
O 0.0000 0.0000 0.5000
CELL_PARAMETERS angstrom
5.7747 0.0000 0.0000
0.0000 5.7747 0.0000
0.0000 0.0000 3.7863
```

Properties
Energy relative to the elements, uncorrected ... -0.19 eV per formula unit
Space group ... P4/mmm, No. 123

In6GaHg3: optimized geometry, PBE-GGA. Values from VASP.

Quantum ESPRESSO input file:
```
&SYSTEM
  ibrav = 0, nat = 20, ntyp = 3
/
ATOMIC_SPECIES
In 114.82 In.upf
Ga 69.72 Ga.upf
Hg 200.59 Hg.upf
ATOMIC_POSITIONS crystal
In 0.1925 0.6419 0.6879
In 0.6925 0.6879 0.6419
In 0.1923 0.4457 0.8796
In 0.6923 0.8796 0.4457
In 0.1917 0.9650 0.0350
In 0.7154 0.2315 0.7685
In 0.2154 0.7685 0.2315
In 0.6917 0.0350 0.9650
In 0.1923 0.1204 0.5543
In 0.6923 0.5543 0.1204
In 0.1925 0.3121 0.3581
In 0.6925 0.3581 0.3121
Ga 0.0668 0.1305 0.8695
Ga 0.5668 0.8695 0.1305
Hg 0.3587 0.9164 0.6715
Hg 0.8587 0.6715 0.9164
Hg 0.5244 0.3840 0.6160
Hg 0.0244 0.6160 0.3840
Hg 0.8587 0.0836 0.3285
Hg 0.3587 0.3285 0.0836
CELL_PARAMETERS angstrom
6.4984 0.0000 0.0000
0.0000 9.8091 -1.5524
0.0000 -3.7021 9.2153
```

Properties
DFT formation energy ... 0.0591 eV/atom
Space group ... Cmc2_1, No. 36